No. 1
Material: DyMgS
Method: DFT, GGA-PBE
State: relaxed

The structure in POSCAR format:
```
DyMgS
1.0
4.790 0.000 0.000
2.395 4.148 0.000
2.395 1.383 7.448
Dy S Mg
2 2 2
Direct
0.592 0.592 0.225 Dy
0.408 0.408 0.775 Dy
0.284 0.284 0.148 S
0.716 0.716 0.852 S
0.829 0.829 0.512 Mg
0.171 0.171 0.488 Mg
```

Summary:
Formation energy from raw total energies   -1.023 eV/atom
DOS at the Fermi energy   0.48 states/eV per atom
DFT total energy   -4.46 eV/atom

=====

No. 2
Material: Dy2MgS3
Method: DFT, GGA-PBE
State: relaxed

The structure in POSCAR format:
```
Dy2MgS3
1.0
-1.902 -3.272 -0.624
0.724 0.295 -3.755
7.587 -2.772 3.204
Dy Mg S
2 1 3
Direct
0.107 0.108 0.220 Dy
0.761 0.763 0.528 Dy
0.434 0.436 0.874 Mg
0.934 0.936 0.874 S
0.277 0.279 0.560 S
0.591 0.593 0.188 S
```

Summary:
Formation energy from raw total energies   -1.762 eV/atom
DOS at the Fermi energy   0.26 states/eV per atom
DFT total energy   -5.63 eV/atom

=====

No. 3
Material: Dy2MgS
Method: DFT, GGA-PBE
State: relaxed

The structure in POSCAR format:
```
Dy2MgS
1.0
-1.858 3.039 -1.176
-3.161 -0.385 -1.982
-6.223 0.910 6.199
Dy Mg S
2 1 1
Direct
0.063 0.063 0.811 Dy
0.270 0.270 0.189 Dy
0.500 0.500 0.501 Mg
0.667 0.667 0.998 S
```

Summary:
Formation energy from raw total energies   -0.930 eV/atom
DOS at the Fermi energy   0.98 states/eV per atom
Polymorph energy (0 for the lowest one)   0 meV/atom
DFT total energy   -4.66 eV/atom

=====

No. 4
Material: Dy2MgS4
Method: DFT, GGA-PBE
State: relaxed

The structure in POSCAR format:
```
Dy2MgS4
1.0
-3.669 5.343 -0.868
-5.127 -2.643 5.407
6.942 6.339 9.679
Dy Mg S
8 4 16
Direct
0.500 0.000 0.000 Dy
0.000 0.000 0.500 Dy
0.000 0.500 0.500 Dy
0.500 0.500 0.000 Dy
0.993 0.750 0.231 Dy
0.007 0.250 0.769 Dy
0.493 0.250 0.269 Dy
0.507 0.750 0.731 Dy
0.920 0.250 0.096 Mg
0.080 0.750 0.904 Mg
0.420 0.750 0.404 Mg
0.580 0.250 0.596 Mg
0.736 0.010 0.170 S
0.264 0.990 0.830 S
0.236 0.990 0.330 S
0.764 0.010 0.670 S
0.764 0.490 0.670 S
0.236 0.510 0.330 S
0.264 0.510 0.830 S
0.736 0.490 0.170 S
0.245 0.750 0.070 S
0.755 0.250 0.930 S
0.745 0.250 0.430 S
0.255 0.750 0.570 S
0.287 0.250 0.091 S
0.713 0.750 0.909 S
0.787 0.750 0.409 S
0.213 0.250 0.591 S
```

Summary:
Formation energy from raw total energies   -1.876 eV/atom
DOS at the Fermi energy   0.00 states/eV per atom
Polymorph energy (0 for the lowest one)   13 meV/atom
DFT total energy   -5.78 eV/atom

=====

No. 5
Material: Dy4MgS7
Method: DFT, GGA-PBE
State: relaxed

The structure in POSCAR format:
```
Dy4MgS7
1.0
6.586 0.002 -0.009
5.485 3.647 -0.009
2.885 0.872 11.090
Dy Mg S
4 1 7
Direct
0.691 0.691 0.207 Dy
0.305 0.305 0.803 Dy
0.998 0.998 0.006 Dy
0.114 0.114 0.568 Dy
0.886 0.886 0.422 Mg
0.744 0.744 0.641 S
0.268 0.268 0.353 S
0.337 0.337 0.052 S
0.659 0.659 0.949 S
0.036 0.036 0.223 S
0.961 0.961 0.785 S
0.500 0.500 0.492 S
```

Summary:
Formation energy from raw total energies   -1.951 eV/atom
DFT total energy   -6.03 eV/atom

=====

No. 6
Material: Dy2MgS4
Method: DFT, GGA-PBE
State: relaxed

The structure in POSCAR format:
```
Dy2MgS4
1.0
-1.030 1.689 6.993
-3.807 -6.866 1.097
9.924 -5.073 2.688
Dy Mg S
8 4 16
Direct
0.750 0.044 0.310 Dy
0.250 0.956 0.690 Dy
0.250 0.456 0.810 Dy
0.750 0.544 0.190 Dy
0.250 0.071 0.021 Dy
0.750 0.929 0.979 Dy
0.750 0.429 0.521 Dy
0.250 0.571 0.479 Dy
0.250 0.181 0.408 Mg
0.750 0.819 0.592 Mg
0.750 0.319 0.908 Mg
0.250 0.681 0.092 Mg
0.500 0.129 0.843 S
0.500 0.871 0.157 S
0.500 0.371 0.343 S
0.500 0.629 0.657 S
0.000 0.629 0.657 S
0.000 0.371 0.343 S
0.000 0.871 0.157 S
0.000 0.129 0.843 S
0.250 0.895 0.454 S
0.750 0.105 0.546 S
0.750 0.605 0.954 S
0.250 0.395 0.046 S
0.750 0.223 0.110 S
0.250 0.777 0.890 S
0.250 0.277 0.610 S
0.750 0.723 0.390 S
```

Summary:
Formation energy from raw total energies   -1.663 eV/atom
DOS at the Fermi energy   0.00 states/eV per atom
Polymorph energy (0 for the lowest one)   226 meV/atom
DFT total energy   -5.56 eV/atom

=====

Q: Number 2 is which compound?
A: Dy2MgS3